Material: Ba2HgPIr
Method: DFT, PBE
State: optimized geometry

The energy of formation comes out at -0.511 eV per atom. The total energy comes out at -20.97 eV per formula unit. As for the energy above the most stable polymorph in this dataset: 23 meV/atom.

a = 6.2360 Å, b = 6.2360 Å, c = 4.4499 Å
α = 90.00°, β = 90.00°, γ = 90.00°
Closest atoms and distances in Å follow each position.
Space group P4/mmm (No. 123)
One atom of each set of equivalent atoms:
Ba 0.0000 0.5000 0.0000 (multiplicity 2)  2 Ir 3.12
Hg 0.0000 0.0000 0.5000 (multiplicity 1)  8 Ba 3.83
P 0.5000 0.5000 0.5000 (multiplicity 1)  2 Ir 2.22
Ir 0.5000 0.5000 0.0000 (multiplicity 1)  2 P 2.22

---

Material: Ba2HgIrPb
Method: DFT, PBE
State: optimized geometry

The energy of formation comes out at -0.268 eV per atom. The total energy comes out at -18.05 eV per formula unit.

a = 6.1502 Å, b = 6.1502 Å, c = 5.2153 Å
α = 90.00°, β = 90.00°, γ = 90.00°
Closest atoms and distances in Å follow each position.
Space group P4/mmm (No. 123)
One atom of each set of equivalent atoms:
Ba 0.0000 0.5000 0.0000 (multiplicity 2)  2 Ir 3.08
Hg 0.0000 0.0000 0.5000 (multiplicity 1)  8 Ba 4.03, 4 Pb 4.35
Ir 0.5000 0.5000 0.0000 (multiplicity 1)  2 Pb 2.61
Pb 0.5000 0.5000 0.5000 (multiplicity 1)  2 Ir 2.61

---

Material: Ba6HgIrPd2
Method: DFT, PBE
State: optimized geometry

The energy of formation comes out at -0.331 eV per atom. The total energy comes out at -34.39 eV per formula unit.

a = 8.1026 Å, b = 8.1046 Å, c = 8.7355 Å
α = 62.37°, β = 62.40°, γ = 60.03°
Closest atoms and distances in Å follow each position.
Space group P1 (No. 1)
One atom of each set of equivalent atoms:
Ba 0.0000 0.0000 0.0000 (multiplicity 1)  1 Ir 3.12, 2 Pd 3.23-3.29, 1 Hg 3.44
Ba 0.1052 0.8113 0.5307 (multiplicity 1)  1 Ir 3.06, 2 Pd 3.22-3.40
Ba 0.2714 0.3553 0.9993 (multiplicity 1)  1 Ir 3.12, 2 Pd 3.23-3.29, 1 Hg 3.44
Ba 0.4558 0.1778 0.5312 (multiplicity 1)  1 Ir 3.06, 2 Pd 3.22-3.40
Ba 0.6454 0.6254 0.0001 (multiplicity 1)  1 Ir 3.12, 2 Pd 3.23-3.29, 1 Hg 3.44
Ba 0.8234 0.4602 0.5306 (multiplicity 1)  1 Ir 3.06, 2 Pd 3.22-3.40
Hg 0.5590 0.9143 0.2382 (multiplicity 1)  1 Pd 3.07
Ir 0.0532 0.4083 0.7559 (multiplicity 1)  6 Ba 3.06-3.12
Pd 0.2160 0.5706 0.2684 (multiplicity 1)  6 Ba 3.22-3.29, 1 Ir 3.60
Pd 0.6979 0.0525 0.8224 (multiplicity 1)  1 Hg 3.07, 6 Ba 3.23-3.40

---

Material: Ba6HgIrPt2
Method: DFT, PBE
State: optimized geometry

The energy of formation comes out at -0.436 eV per atom. The total energy comes out at -37.14 eV per formula unit.

a = 8.0545 Å, b = 8.0609 Å, c = 8.8019 Å
α = 90.03°, β = 117.21°, γ = 119.97°
Closest atoms and distances in Å follow each position.
Space group P1 (No. 1)
One atom of each set of equivalent atoms:
Ba 0.0000 0.0000 0.0000 (multiplicity 1)  1 Ir 3.08, 2 Pt 3.21-3.23
Ba 0.0028 0.7899 0.4732 (multiplicity 1)  1 Ir 3.11, 2 Pt 3.21
Ba 0.3253 0.4496 0.4726 (multiplicity 1)  1 Ir 3.11, 2 Pt 3.21
Ba 0.4064 0.6429 0.9998 (multiplicity 1)  1 Ir 3.09, 2 Pt 3.21-3.23
Ba 0.6430 0.2363 0.0000 (multiplicity 1)  1 Ir 3.08, 2 Pt 3.21-3.23
Ba 0.6652 0.1124 0.4727 (multiplicity 1)  1 Ir 3.11, 2 Pt 3.21
Hg 0.8659 0.5511 0.7754 (multiplicity 1)  6 Ba 3.50-3.54
Ir 0.8549 0.0456 0.2580 (multiplicity 1)  6 Ba 3.08-3.11
Pt 0.4909 0.8636 0.7119 (multiplicity 1)  6 Ba 3.21-3.23
Pt 0.5146 0.3757 0.2473 (multiplicity 1)  6 Ba 3.21

---

Material: Ba8HgIrPt2
Method: DFT, PBE
State: optimized geometry

The energy of formation comes out at -0.433 eV per atom. The total energy comes out at -41.83 eV per formula unit.

a = 7.5353 Å, b = 9.5537 Å, c = 7.7232 Å
α = 90.00°, β = 90.61°, γ = 90.00°
Closest atoms and distances in Å follow each position.
Space group P2/m (No. 10)
One atom of each set of equivalent atoms:
Ba 0.2092 0.0000 0.3413 (multiplicity 2)  2 Pt 3.16, 1 Hg 3.45
Ba 0.2325 0.5000 0.3156 (multiplicity 2)  1 Ir 3.18, 2 Pt 3.26
Ba 0.2711 0.2721 0.8206 (multiplicity 4)  1 Ir 3.10, 1 Pt 3.20, 1 Hg 3.41
Hg 0.5000 0.0000 0.0000 (multiplicity 1)  6 Ba 3.41-3.45
Ir 0.5000 0.5000 0.0000 (multiplicity 1)  6 Ba 3.10-3.18
Pt 0.0000 0.2555 0.5000 (multiplicity 2)  6 Ba 3.16-3.26

---

Material: Ba6Hg2IrPt
Method: DFT, PBE
State: optimized geometry

The energy of formation comes out at -0.391 eV per atom. The total energy comes out at -30.95 eV per formula unit.

a = 8.5395 Å, b = 8.5395 Å, c = 20.9491 Å
α = 90.00°, β = 90.00°, γ = 120.00°
Closest atoms and distances in Å follow each position.
Space group R3 (No. 146, hexagonal axes)
One atom of each set of equivalent atoms:
Ba 0.9997 0.4070 0.0000 (multiplicity 9)  1 Ir 3.08, 1 Pt 3.17
Ba 0.0115 0.5995 0.4986 (multiplicity 9)  1 Ir 3.09, 1 Pt 3.16
Hg 0.0000 0.0000 0.4639 (multiplicity 3)  6 Ba 3.55-3.77
Hg 0.0000 0.0000 0.9646 (multiplicity 3)  6 Ba 3.56-3.75
Ir 0.0000 0.0000 0.7460 (multiplicity 3)  6 Ba 3.08-3.09
Pt 0.0000 0.0000 0.2458 (multiplicity 3)  6 Ba 3.16-3.17

---

Material: BaHgIrRu2
Method: DFT, PBE
State: optimized geometry

The energy of formation comes out at 2.749 eV per atom. The total energy comes out at -15.89 eV per formula unit.

a = 5.0028 Å, b = 5.0028 Å, c = 5.7635 Å
α = 90.00°, β = 90.00°, γ = 90.00°
Closest atoms and distances in Å follow each position.
Space group P4/mmm (No. 123)
One atom of each set of equivalent atoms:
Ba 0.0000 0.0000 0.0000 (multiplicity 1)  4 Ru 2.50
Hg 0.0000 0.0000 0.5000 (multiplicity 1)  2 Ba 2.88
Ir 0.5000 0.5000 0.5000 (multiplicity 1)  4 Hg 3.54, 8 Ru 3.82
Ru 0.0000 0.5000 0.0000 (multiplicity 2)  2 Ba 2.50

---

Material: Ba2HgSbIr
Method: DFT, PBE
State: optimized geometry

The total energy comes out at -19.23 eV per formula unit.

a = 6.1930 Å, b = 6.1930 Å, c = 5.0282 Å
α = 90.00°, β = 90.00°, γ = 90.00°
Closest atoms and distances in Å follow each position.
Space group P4/mmm (No. 123)
One atom of each set of equivalent atoms:
Ba 0.0000 0.5000 0.0000 (multiplicity 2)  2 Ir 3.10
Hg 0.0000 0.0000 0.5000 (multiplicity 1)  8 Ba 3.99, 4 Sb 4.38
Sb 0.5000 0.5000 0.5000 (multiplicity 1)  2 Ir 2.51
Ir 0.5000 0.5000 0.0000 (multiplicity 1)  2 Sb 2.51

---

Material: Ba2SiHgIr
Method: DFT, PBE
State: optimized geometry

The total energy comes out at -20.35 eV per formula unit.

a = 6.1638 Å, b = 6.1638 Å, c = 4.6161 Å
α = 90.00°, β = 90.00°, γ = 90.00°
Closest atoms and distances in Å follow each position.
Space group P4/mmm (No. 123)
One atom of each set of equivalent atoms:
Ba 0.0000 0.5000 0.0000 (multiplicity 2)  2 Ir 3.08
Si 0.0000 0.0000 0.5000 (multiplicity 1)  2 Ir 2.31
Hg 0.5000 0.5000 0.5000 (multiplicity 1)  8 Ba 3.85
Ir 0.0000 0.0000 0.0000 (multiplicity 1)  2 Si 2.31

---

Material: BaSnHg2Ir
Method: DFT, PBE
State: optimized geometry

The energy of formation comes out at -0.252 eV per atom. The total energy comes out at -16.65 eV per formula unit.

a = 5.3558 Å, b = 5.3558 Å, c = 5.1076 Å
α = 90.00°, β = 90.00°, γ = 90.00°
Closest atoms and distances in Å follow each position.
Space group P4/mmm (No. 123)
One atom of each set of equivalent atoms:
Ba 0.0000 0.0000 0.0000 (multiplicity 1)  8 Hg 3.70, 4 Sn 3.79
Sn 0.5000 0.5000 0.0000 (multiplicity 1)  2 Ir 2.55
Hg 0.0000 0.5000 0.5000 (multiplicity 2)  2 Ir 2.68
Ir 0.5000 0.5000 0.5000 (multiplicity 1)  2 Sn 2.55, 4 Hg 2.68

---

Material: BaSrHgIr2
Method: DFT, PBE
State: optimized geometry

The energy of formation comes out at 1.135 eV per atom. The total energy comes out at -15.95 eV per formula unit.

a = 5.2749 Å, b = 5.2749 Å, c = 5.9156 Å
α = 90.00°, β = 90.00°, γ = 90.00°
Closest atoms and distances in Å follow each position.
Space group P4/mmm (No. 123)
One atom of each set of equivalent atoms:
Ba 0.0000 0.0000 0.0000 (multiplicity 1)  4 Ir 2.64
Sr 0.5000 0.5000 0.5000 (multiplicity 1)  4 Hg 3.73, 8 Ir 3.96
Hg 0.0000 0.0000 0.5000 (multiplicity 1)  2 Ba 2.96
Ir 0.0000 0.5000 0.0000 (multiplicity 2)  2 Ba 2.64

---

Material: BaSr2HgIr
Method: DFT, PBE
State: optimized geometry

The energy of formation comes out at -0.195 eV per atom. The total energy comes out at -15.42 eV per formula unit.

a = 5.8212 Å, b = 5.8212 Å, c = 6.0594 Å
α = 90.00°, β = 90.00°, γ = 90.00°
Closest atoms and distances in Å follow each position.
Space group P4/mmm (No. 123)
One atom of each set of equivalent atoms:
Ba 0.0000 0.0000 0.0000 (multiplicity 1)  2 Ir 3.03
Sr 0.0000 0.5000 0.5000 (multiplicity 2)  2 Ir 2.91
Hg 0.5000 0.5000 0.0000 (multiplicity 1)  4 Ba 4.12, 8 Sr 4.20
Ir 0.0000 0.0000 0.5000 (multiplicity 1)  4 Sr 2.91, 2 Ba 3.03

---

Material: Ba2TlHgIr
Method: DFT, PBE
State: optimized geometry

The energy of formation comes out at -0.106 eV per atom. The total energy comes out at -15.90 eV per formula unit. As for the energy above the most stable polymorph in this dataset: 127 meV/atom.

a = 6.0263 Å, b = 6.0263 Å, c = 5.3366 Å
α = 90.00°, β = 90.00°, γ = 90.00°
Closest atoms and distances in Å follow each position.
Space group P4/mmm (No. 123)
One atom of each set of equivalent atoms:
Ba 0.0000 0.5000 0.0000 (multiplicity 2)  2 Ir 3.01
Tl 0.0000 0.0000 0.5000 (multiplicity 1)  8 Ba 4.02, 4 Hg 4.26
Hg 0.5000 0.5000 0.5000 (multiplicity 1)  2 Ir 2.67
Ir 0.5000 0.5000 0.0000 (multiplicity 1)  2 Hg 2.67